1.
# DyAsN2O GGA-PBE relaxed
# Raw total energy, eV/atom: -6.779
data_DyAsN2O
_chemical_formula_sum 'Dy6 As6 N12 O6'
_cell_length_a 5.3668
_cell_length_b 5.3668
_cell_length_c 13.2735
_cell_angle_alpha 90.00
_cell_angle_beta 90.00
_cell_angle_gamma 120.00
_space_group_name_H-M_alt 'P 63/m m c'
_space_group_IT_number 194
_space_group_name_Hall '-P 6c 2c'
loop_
_atom_site_label
_atom_site_type_symbol
_atom_site_fract_x
_atom_site_fract_y
_atom_site_fract_z
_atom_site_occupancy
Dy1 Dy 0.0000 0.0000 0.2500 1
Dy2 Dy 0.3333 0.6667 0.0956 1
As1 As 0.0000 0.0000 0.0000 1
As2 As 0.3333 0.6667 0.6454 1
N1 N 0.1595 0.3189 0.5883 1
O1 O 0.0095 0.5048 0.7500 1

***

2.
# DyAsN2O GGA-PBE relaxed
# Raw total energy, eV/atom: -7.094
data_DyAsN2O
_chemical_formula_sum 'Dy4 As4 N8 O4'
_cell_length_a 7.2564
_cell_length_b 5.7564
_cell_length_c 5.6005
_cell_angle_alpha 90.00
_cell_angle_beta 90.00
_cell_angle_gamma 90.00
_space_group_name_H-M_alt 'P m c 21'
_space_group_IT_number 26
_space_group_name_Hall 'P 2c -2'
loop_
_atom_site_label
_atom_site_type_symbol
_atom_site_fract_x
_atom_site_fract_y
_atom_site_fract_z
_atom_site_occupancy
Dy1 Dy 0.0000 0.1811 0.0000 1
Dy2 Dy 0.5000 0.1933 0.9017 1
As1 As 0.2473 0.3349 0.4427 1
N1 N 0.0000 0.1986 0.4189 1
N2 N 0.2082 0.3960 0.7791 1
N3 N 0.5000 0.3651 0.5332 1
O1 O 0.2979 0.1027 0.2105 1

***

| no. | density (Mg/m³) | size of the total moment (μB per cell) |
| --- | --- | --- |
| 1 | 8.47 | 0.00 |
| 2 | 7.99 | 0.00 |